Record 1
Computed, not measured: crystalline Tb3PmTm6 at its relaxed geometry at the PBE level of DFT.

Output
E_form	0.15	eV per atom
relative energy among the computed polymorphs	0.000	eV/f.u.
VASP energy	-4.399	eV per atom

The structure in CIF format:
```
data_Tb3PmTm6
_cell_length_a 10.9427
_cell_length_b 18.7833
_cell_length_c 6.1433
_cell_angle_alpha 90.00
_cell_angle_beta 90.00
_cell_angle_gamma 90.00
_space_group_name_H-M_alt 'C m c 21'
_space_group_IT_number 36
loop_
_space_group_symop_operation_xyz
'x,y,z'
'-x,-y,z+1/2'
'-x,y,z'
'x,-y,z+1/2'
'x+1/2,y+1/2,z'
'-x+1/2,-y+1/2,z+1/2'
'-x+1/2,y+1/2,z'
'x+1/2,-y+1/2,z+1/2'
loop_
_atom_site_label
_atom_site_type_symbol
_atom_site_fract_x
_atom_site_fract_y
_atom_site_fract_z
Tb1 Tb 0.0000 0.1084 0.0000
Tb2 Tb 0.1736 0.3916 0.3891
Pm1 Pm 0.0000 0.2916 0.0880
Tm1 Tm 0.0000 0.2137 0.5708
Tm2 Tm 0.0000 0.4525 0.8474
Tm3 Tm 0.1649 0.0478 0.4589
Tm4 Tm 0.2465 0.2888 0.7955
```

Record 2
Computed, not measured: crystalline Tb4Pm2Tm5 at its relaxed geometry at the PBE level of DFT.

Output
E_form	0.16	eV per atom
relative energy among the computed polymorphs	1.532	eV/f.u.
VASP energy	-4.421	eV per atom

The structure in CIF format:
```
data_Tb4Pm2Tm5
_cell_length_a 16.4151
_cell_length_b 6.6172
_cell_length_c 6.6429
_cell_angle_alpha 90.00
_cell_angle_beta 100.02
_cell_angle_gamma 90.00
_space_group_name_H-M_alt 'C 1 2/m 1'
_space_group_IT_number 12
loop_
_space_group_symop_operation_xyz
'x,y,z'
'-x,-y,-z'
'-x,y,-z'
'x,-y,z'
'x+1/2,y+1/2,z'
'-x+1/2,-y+1/2,-z'
'-x+1/2,y+1/2,-z'
'x+1/2,-y+1/2,z'
loop_
_atom_site_label
_atom_site_type_symbol
_atom_site_fract_x
_atom_site_fract_y
_atom_site_fract_z
Tb1 Tb 0.0874 0.0000 0.4045
Tb2 Tb 0.2436 0.5000 0.8028
Pm1 Pm 0.1982 0.5000 0.2938
Tm1 Tm 0.0000 0.5000 0.5000
Tm2 Tm 0.0875 0.2393 0.9043
```

Record 3
Computed, not measured: crystalline Tb5PmTm5 at its relaxed geometry at the PBE level of DFT.

Output
E_form	0.15	eV per atom
relative energy among the computed polymorphs	0.000	eV/f.u.
VASP energy	-4.423	eV per atom

The structure in CIF format:
```
data_Tb5PmTm5
_cell_length_a 6.8062
_cell_length_b 6.9410
_cell_length_c 8.2698
_cell_angle_alpha 76.32
_cell_angle_beta 76.83
_cell_angle_gamma 72.67
_space_group_name_H-M_alt 'P -1'
_space_group_IT_number 2
loop_
_space_group_symop_operation_xyz
'x,y,z'
'-x,-y,-z'
loop_
_atom_site_label
_atom_site_type_symbol
_atom_site_fract_x
_atom_site_fract_y
_atom_site_fract_z
Tb1 Tb 0.0000 0.0000 0.0000
Tb2 Tb 0.1564 0.1312 0.3583
Tb3 Tb 0.3213 0.2677 0.6562
Pm1 Pm 0.0000 0.5000 0.0000
Tm1 Tm 0.2127 0.6385 0.3157
Tm2 Tm 0.3540 0.7519 0.7149
Tm3 Tm 0.5000 0.0000 0.0000
```

Record 4
Computed, not measured: crystalline Tb2PmTm at its relaxed geometry at the PBE level of DFT.

Output
E_form	0.02	eV per atom
relative energy among the computed polymorphs	0.014	eV/f.u.
VASP energy	-4.601	eV per atom

The structure in CIF format:
```
data_Tb2PmTm
_cell_length_a 3.5650
_cell_length_b 3.5650
_cell_length_c 34.8632
_cell_angle_alpha 90.00
_cell_angle_beta 90.00
_cell_angle_gamma 120.00
_space_group_name_H-M_alt 'R -3 m'
_space_group_IT_number 166
_space_group_name_Hall '-R 3 2"'
loop_
_atom_site_label
_atom_site_type_symbol
_atom_site_fract_x
_atom_site_fract_y
_atom_site_fract_z
Tb1 Tb 0.0000 0.0000 0.2484
Pm1 Pm 0.0000 0.0000 0.0000
Tm1 Tm 0.0000 0.0000 0.5000
```

Record 5
Computed, not measured: crystalline Tb4PmTm6 at its relaxed geometry at the PBE level of DFT.

Output
E_form	0.47	eV per atom
relative energy among the computed polymorphs	1.634	eV/f.u.
VASP energy	-4.088	eV per atom

The structure in CIF format:
```
data_Tb4PmTm6
_cell_length_a 7.6846
_cell_length_b 7.6846
_cell_length_c 12.7864
_cell_angle_alpha 90.00
_cell_angle_beta 90.00
_cell_angle_gamma 90.00
_space_group_name_H-M_alt 'I -4 2 m'
_space_group_IT_number 121
_space_group_name_Hall 'I -4 2'
loop_
_atom_site_label
_atom_site_type_symbol
_atom_site_fract_x
_atom_site_fract_y
_atom_site_fract_z
Tb1 Tb 0.1687 0.1687 0.4255
Pm1 Pm 0.0000 0.0000 0.0000
Tm1 Tm 0.0000 0.5000 0.0000
Tm2 Tm 0.2468 0.2468 0.6844
```

Record 6
Computed, not measured: crystalline Tb2PmTm at its relaxed geometry at the PBE level of DFT.

Output
E_form	0.02	eV per atom
relative energy among the computed polymorphs	0.006	eV/f.u.
VASP energy	-4.603	eV per atom

The structure in CIF format:
```
data_Tb2PmTm
_cell_length_a 10.0941
_cell_length_b 10.0867
_cell_length_c 5.0239
_cell_angle_alpha 90.00
_cell_angle_beta 90.00
_cell_angle_gamma 90.00
_space_group_name_H-M_alt 'C m c m'
_space_group_IT_number 63
_space_group_name_Hall '-C 2c 2'
loop_
_atom_site_label
_atom_site_type_symbol
_atom_site_fract_x
_atom_site_fract_y
_atom_site_fract_z
Tb1 Tb 0.2482 0.1250 0.2500
Pm1 Pm 0.0000 0.3734 0.2500
Tm1 Tm 0.0000 0.1230 0.7500
```